DFT (PBE-GGA) results for a relaxed AcNdPu2As4 crystal.

```
AcNdPu2As4
1.0
-3.9852 0.6653 1.4141
0.6981 -5.6905 4.6447
2.7015 2.4061 6.4815
As Ac Nd Pu
4 1 1 2
direct
0.0000 0.7728 0.7347 As
0.5000 0.7673 0.2516 As
0.5000 0.2327 0.7484 As
0.0000 0.2272 0.2653 As
0.5000 0.5000 0.0000 Ac
0.0000 0.5000 0.5000 Nd
0.5000 0.0000 0.5000 Pu
0.0000 0.0000 0.0000 Pu
```

Values from the calculation:
Theoretical density, g/cm³: 8.71
Calculated formation energy, meV per atom: -1224
Symmetry: No. 10
DOS(E_F), states/eV per cell: 23.949

DFT (PBE-GGA) results for a relaxed Ac2NdAs3Rh4 crystal.

```
Ac2NdAs3Rh4
1.0
4.2844 0.0000 0.0000
0.0000 4.2844 0.0000
0.0000 0.0000 11.5864
As Ac Rh Nd
3 2 4 1
direct
0.0000 0.5000 0.1215 As
0.5000 0.0000 0.8785 As
0.0000 0.0000 0.5000 As
0.5000 0.0000 0.2282 Ac
0.0000 0.5000 0.7718 Ac
0.0000 0.5000 0.3362 Rh
0.5000 0.0000 0.6638 Rh
0.5000 0.5000 0.0000 Rh
0.0000 0.0000 0.0000 Rh
0.5000 0.5000 0.5000 Nd
```

Values from the calculation:
Theoretical density, g/cm³: 9.64
Calculated formation energy, meV per atom: -909
Symmetry: No. 115
DOS(E_F), states/eV per cell: 7.097

DFT (PBE-GGA) results for a relaxed AcNdAs2Rh5 crystal.

```
AcNdAs2Rh5
1.0
-3.1039 1.4969 2.3122
0.7835 -2.8599 2.9033
7.2533 7.1636 5.0990
Rh Nd As Ac
5 1 2 1
direct
0.5000 0.0000 0.8124 Rh
0.5000 0.0000 0.1876 Rh
0.0000 0.5000 0.1876 Rh
0.5000 0.5000 0.5000 Rh
0.0000 0.5000 0.8124 Rh
0.0000 0.0000 0.0000 Nd
0.5000 0.5000 0.2898 As
0.5000 0.5000 0.7102 As
0.0000 0.0000 0.5000 Ac
```

Values from the calculation:
Theoretical density, g/cm³: 8.76
Calculated formation energy, meV per atom: -578
Symmetry: No. 123
DOS(E_F), states/eV per cell: 4.508

DFT (PBE-GGA) results for a relaxed Ac2NdAs2S2 crystal.

```
Ac2NdAs2S2
1.0
5.4684 0.0000 0.0000
0.0000 5.4684 0.0000
-2.7342 -2.7342 7.6154
S As Ac Nd
2 2 2 1
direct
0.1851 0.1851 0.3701 S
0.8149 0.8149 0.6299 S
0.5000 0.0000 0.0000 As
0.0000 0.5000 0.0000 As
0.3681 0.3681 0.7363 Ac
0.6319 0.6319 0.2637 Ac
0.0000 0.0000 0.0000 Nd
```

Values from the calculation:
Theoretical density, g/cm³: 5.92
Symmetry: No. 139
ΔE_f (raw), kcal/mol of atoms: -29.4
DOS(E_F), states/eV per cell: 2.331

DFT (PBE-GGA) results for a relaxed AcNdSbAs crystal.

```
AcNdSbAs
1.0
-3.0809 -2.5254 -1.9978
4.2633 -1.2969 0.0347
-0.5897 -1.7151 8.0508
As Ac Nd Sb
1 1 1 1
direct
0.4630 0.1294 0.6076 As
0.2974 0.5464 0.8596 Ac
0.9740 0.3851 0.3740 Nd
0.1436 0.9698 0.1285 Sb
```

Values from the calculation:
Theoretical density, g/cm³: 6.99
Symmetry: No. 160
ΔE_f (raw), kcal/mol of atoms: -26.7
DOS(E_F), states/eV per cell: 0.221

DFT (PBE-GGA) results for a relaxed Ac2NdAs2Se2 crystal.

```
Ac2NdAs2Se2
1.0
-5.0968 -1.9089 -0.2071
0.5301 -0.8345 -5.3560
4.9695 -5.9531 4.1887
Ac As Se Nd
2 2 2 1
direct
0.3717 0.3717 0.7433 Ac
0.6283 0.6283 0.2567 Ac
0.0000 0.5000 0.0000 As
0.5000 0.0000 0.0000 As
0.8153 0.8153 0.6307 Se
0.1847 0.1847 0.3693 Se
0.0000 0.0000 0.0000 Nd
```

Values from the calculation:
Theoretical density, g/cm³: 6.40
Symmetry: No. 139
ΔE_f (raw), kcal/mol of atoms: -29.1
DOS(E_F), states/eV per cell: 2.681

DFT (PBE-GGA) results for a relaxed Ac2NdSmAs4 crystal.

```
Ac2NdSmAs4
1.0
4.3978 0.0000 0.0000
0.0000 7.6241 -0.1572
0.0000 2.6766 7.1255
Ac As Nd Sm
2 4 1 1
direct
0.5000 0.0000 0.5000 Ac
0.0000 0.0000 0.0000 Ac
0.5000 0.7340 0.2568 As
0.0000 0.7349 0.7534 As
0.5000 0.2660 0.7432 As
0.0000 0.2651 0.2466 As
0.5000 0.5000 0.0000 Nd
0.0000 0.5000 0.5000 Sm
```

Values from the calculation:
Theoretical density, g/cm³: 7.23
Calculated formation energy, meV per atom: -1481
Symmetry: No. 10
DOS(E_F), states/eV per cell: 0.672

DFT (PBE-GGA) results for a relaxed AcNdSm2As4 crystal.

```
AcNdSm2As4
1.0
4.3167 0.0000 0.0000
0.0000 7.4744 -0.1515
0.0000 2.6261 7.0001
As Nd Ac Sm
4 1 1 2
direct
0.0000 0.2372 0.2606 As
0.0000 0.7628 0.7394 As
0.5000 0.2420 0.7466 As
0.5000 0.7580 0.2533 As
0.0000 0.5000 0.5000 Nd
0.5000 0.5000 0.0000 Ac
0.0000 0.0000 0.0000 Sm
0.5000 0.0000 0.5000 Sm
```

Values from the calculation:
Theoretical density, g/cm³: 7.09
Calculated formation energy, meV per atom: -1489
Symmetry: No. 10
DOS(E_F), states/eV per cell: 0.743

Look up the theoretical density of the eighth one. 7.09 g/cm³

What is the theoretical density in the sixth record? 6.40 g/cm³